1.
# Cs3USb2Te6, optimized geometry, DFT GGA-PBE
data_Cs3USb2Te6
_symmetry_space_group_name_H-M 'C 1 2/m 1'
_symmetry_Int_Tables_number 12
_symmetry_space_group_name_Hall '-C 2y'
_cell_length_a 8.006
_cell_length_b 13.862
_cell_length_c 9.290
_cell_angle_alpha 90.00
_cell_angle_beta 106.70
_cell_angle_gamma 90.00
loop_
_atom_site_label
_atom_site_fract_x
_atom_site_fract_y
_atom_site_fract_z
Cs1 0.000 0.000 0.000
Cs2 0.000 0.334 0.000
U1 0.000 0.500 0.500
Sb1 0.000 0.167 0.500
Te1 0.227 0.000 0.689
Te2 0.231 0.332 0.689
# E	-48.4	eV/f.u.
# uncorrected formation energy	-60	kJ/mol of atoms
# calculated density	5535	kg/m3

=====

2.
# Cs2USbTe5, optimized geometry, DFT GGA-PBE
data_Cs2USbTe5
_symmetry_space_group_name_H-M 'C m c 21'
_symmetry_Int_Tables_number 36
_symmetry_space_group_name_Hall 'C 2c -2'
_cell_length_a 4.769
_cell_length_b 22.098
_cell_length_c 15.919
_cell_angle_alpha 90.00
_cell_angle_beta 90.00
_cell_angle_gamma 90.00
loop_
_atom_site_label
_atom_site_fract_x
_atom_site_fract_y
_atom_site_fract_z
Cs1 0.000 0.123 0.000
Cs2 0.000 0.129 0.642
U1 0.000 0.195 0.353
Sb1 0.000 0.449 0.749
Te1 0.000 0.059 0.375
Te2 0.000 0.300 0.970
Te3 0.000 0.319 0.724
Te4 0.000 0.322 0.320
Te5 0.000 0.498 0.590
# E	-38.3	eV/f.u.
# uncorrected formation energy	-59	kJ/mol of atoms
# calculated density	5003	kg/m3

=====

3.
# CsVSbTe2, optimized geometry, DFT GGA-PBE
data_CsVSbTe2
_symmetry_space_group_name_H-M 'P 4/m m m'
_symmetry_Int_Tables_number 123
_symmetry_space_group_name_Hall '-P 4 2'
_cell_length_a 5.459
_cell_length_b 5.459
_cell_length_c 5.308
_cell_angle_alpha 90.00
_cell_angle_beta 90.00
_cell_angle_gamma 90.00
loop_
_atom_site_label
_atom_site_fract_x
_atom_site_fract_y
_atom_site_fract_z
Cs1 0.000 0.000 0.000
V1 0.500 0.500 0.500
Sb1 0.500 0.500 0.000
Te1 0.000 0.500 0.500
# E	-21.2	eV/f.u.
# uncorrected formation energy	-15	kJ/mol of atoms
# calculated density	5889	kg/m3

=====

4.
# CsSb2TeW, optimized geometry, DFT GGA-PBE
data_CsSb2TeW
_symmetry_space_group_name_H-M 'P 4/m m m'
_symmetry_Int_Tables_number 123
_symmetry_space_group_name_Hall '-P 4 2'
_cell_length_a 6.035
_cell_length_b 6.035
_cell_length_c 5.859
_cell_angle_alpha 90.00
_cell_angle_beta 90.00
_cell_angle_gamma 90.00
loop_
_atom_site_label
_atom_site_fract_x
_atom_site_fract_y
_atom_site_fract_z
Cs1 0.000 0.000 0.000
Sb1 0.000 0.500 0.000
Te1 0.000 0.000 0.500
W1 0.500 0.500 0.500
# E	-11.2	eV/f.u.
# uncorrected formation energy	271	kJ/mol of atoms
# calculated density	5353	kg/m3
# offset from the most stable computed form	2576.6	meV/atom

=====

5.
# CsSb2TeW, optimized geometry, DFT GGA-PBE
data_CsSb2TeW
_symmetry_space_group_name_H-M 'P 4/m m m'
_symmetry_Int_Tables_number 123
_symmetry_space_group_name_Hall '-P 4 2'
_cell_length_a 5.350
_cell_length_b 5.350
_cell_length_c 5.689
_cell_angle_alpha 90.00
_cell_angle_beta 90.00
_cell_angle_gamma 90.00
loop_
_atom_site_label
_atom_site_fract_x
_atom_site_fract_y
_atom_site_fract_z
Cs1 0.000 0.000 0.000
Sb1 0.000 0.500 0.500
Te1 0.500 0.500 0.000
W1 0.500 0.500 0.500
# E	-24.1	eV/f.u.
# uncorrected formation energy	22	kJ/mol of atoms
# calculated density	7015	kg/m3
# offset from the most stable computed form	0.0	meV/atom

=====

6.
# CsYSbTe2, optimized geometry, DFT GGA-PBE
data_CsYSbTe2
_symmetry_space_group_name_H-M 'P 4/m m m'
_symmetry_Int_Tables_number 123
_symmetry_space_group_name_Hall '-P 4 2'
_cell_length_a 5.990
_cell_length_b 5.990
_cell_length_c 5.946
_cell_angle_alpha 90.00
_cell_angle_beta 90.00
_cell_angle_gamma 90.00
loop_
_atom_site_label
_atom_site_fract_x
_atom_site_fract_y
_atom_site_fract_z
Cs1 0.000 0.000 0.000
Y1 0.500 0.500 0.500
Sb1 0.500 0.500 0.000
Te1 0.000 0.500 0.500
# E	-20.8	eV/f.u.
# uncorrected formation energy	-60	kJ/mol of atoms
# calculated density	4661	kg/m3
# offset from the most stable computed form	0.0	meV/atom

=====

7.
# CsYSbTe2, optimized geometry, DFT GGA-PBE
data_CsYSbTe2
_symmetry_space_group_name_H-M 'P 4/m m m'
_symmetry_Int_Tables_number 123
_symmetry_space_group_name_Hall '-P 4 2'
_cell_length_a 6.115
_cell_length_b 6.115
_cell_length_c 5.996
_cell_angle_alpha 90.00
_cell_angle_beta 90.00
_cell_angle_gamma 90.00
loop_
_atom_site_label
_atom_site_fract_x
_atom_site_fract_y
_atom_site_fract_z
Cs1 0.000 0.000 0.000
Y1 0.500 0.500 0.500
Sb1 0.000 0.000 0.500
Te1 0.000 0.500 0.000
# E	-13.3	eV/f.u.
# uncorrected formation energy	85	kJ/mol of atoms
# calculated density	4435	kg/m3
# offset from the most stable computed form	1504.1	meV/atom

=====

8.
# CsZnSb2Te, optimized geometry, DFT GGA-PBE
data_CsZnSb2Te
_symmetry_space_group_name_H-M 'P 4/m m m'
_symmetry_Int_Tables_number 123
_symmetry_space_group_name_Hall '-P 4 2'
_cell_length_a 7.326
_cell_length_b 7.326
_cell_length_c 7.519
_cell_angle_alpha 90.00
_cell_angle_beta 90.00
_cell_angle_gamma 90.00
loop_
_atom_site_label
_atom_site_fract_x
_atom_site_fract_y
_atom_site_fract_z
Cs1 0.000 0.000 0.000
Zn1 0.500 0.500 0.500
Sb1 0.000 0.500 0.000
Te1 0.000 0.000 0.500
# E	-7.2	eV/f.u.
# uncorrected formation energy	123	kJ/mol of atoms
# calculated density	2343	kg/m3
# offset from the most stable computed form	1211.4	meV/atom

=====

9.
# CsZnSb2Te, optimized geometry, DFT GGA-PBE
data_CsZnSb2Te
_symmetry_space_group_name_H-M 'P 4/m m m'
_symmetry_Int_Tables_number 123
_symmetry_space_group_name_Hall '-P 4 2'
_cell_length_a 5.415
_cell_length_b 5.415
_cell_length_c 5.798
_cell_angle_alpha 90.00
_cell_angle_beta 90.00
_cell_angle_gamma 90.00
loop_
_atom_site_label
_atom_site_fract_x
_atom_site_fract_y
_atom_site_fract_z
Cs1 0.000 0.000 0.000
Zn1 0.500 0.500 0.500
Sb1 0.000 0.500 0.500
Te1 0.500 0.500 0.000
# E	-13.2	eV/f.u.
# uncorrected formation energy	6	kJ/mol of atoms
# calculated density	5561	kg/m3
# offset from the most stable computed form	0.0	meV/atom

=====

10.
# CsZrSbTe2, optimized geometry, DFT GGA-PBE
data_CsZrSbTe2
_symmetry_space_group_name_H-M 'P 4/m m m'
_symmetry_Int_Tables_number 123
_symmetry_space_group_name_Hall '-P 4 2'
_cell_length_a 6.080
_cell_length_b 6.080
_cell_length_c 5.990
_cell_angle_alpha 90.00
_cell_angle_beta 90.00
_cell_angle_gamma 90.00
loop_
_atom_site_label
_atom_site_fract_x
_atom_site_fract_y
_atom_site_fract_z
Cs1 0.000 0.000 0.000
Zr1 0.500 0.500 0.500
Sb1 0.000 0.000 0.500
Te1 0.000 0.500 0.000
# E	-12.1	eV/f.u.
# uncorrected formation energy	150	kJ/mol of atoms
# calculated density	4507	kg/m3
# offset from the most stable computed form	2104.8	meV/atom

=====

11.
# CsZrSbTe2, optimized geometry, DFT GGA-PBE
data_CsZrSbTe2
_symmetry_space_group_name_H-M 'P 4/m m m'
_symmetry_Int_Tables_number 123
_symmetry_space_group_name_Hall '-P 4 2'
_cell_length_a 5.758
_cell_length_b 5.758
_cell_length_c 5.680
_cell_angle_alpha 90.00
_cell_angle_beta 90.00
_cell_angle_gamma 90.00
loop_
_atom_site_label
_atom_site_fract_x
_atom_site_fract_y
_atom_site_fract_z
Cs1 0.000 0.000 0.000
Zr1 0.500 0.500 0.500
Sb1 0.500 0.500 0.000
Te1 0.000 0.500 0.500
# E	-22.6	eV/f.u.
# uncorrected formation energy	-54	kJ/mol of atoms
# calculated density	5300	kg/m3
# offset from the most stable computed form	0.0	meV/atom

=====

12.
# CsThSb2, optimized geometry, DFT GGA-PBE
data_CsThSb2
_symmetry_space_group_name_H-M 'P 4/m m m'
_symmetry_Int_Tables_number 123
_symmetry_space_group_name_Hall '-P 4 2'
_cell_length_a 4.224
_cell_length_b 4.224
_cell_length_c 8.345
_cell_angle_alpha 90.00
_cell_angle_beta 90.00
_cell_angle_gamma 90.00
loop_
_atom_site_label
_atom_site_fract_x
_atom_site_fract_y
_atom_site_fract_z
Cs1 0.000 0.000 0.000
Th1 0.000 0.000 0.500
Sb1 0.500 0.500 0.322
# E	-18.8	eV/f.u.
# uncorrected formation energy	-54	kJ/mol of atoms
# calculated density	6786	kg/m3
# offset from the most stable computed form	0.0	meV/atom

=====

13.
# CsThSb2, optimized geometry, DFT GGA-PBE
data_CsThSb2
_symmetry_space_group_name_H-M 'R -3 m'
_symmetry_Int_Tables_number 166
_symmetry_space_group_name_Hall '-R 3 2"'
_cell_length_a 4.7100
_cell_length_b 4.7100
_cell_length_c 26.9033
_cell_angle_alpha 90.00
_cell_angle_beta 90.00
_cell_angle_gamma 120.00
loop_
_atom_site_label
_atom_site_fract_x
_atom_site_fract_y
_atom_site_fract_z
Cs1 0.0000 0.0000 0.0000
Th1 0.0000 0.0000 0.5000
Sb1 0.0000 0.0000 0.2283
# E	-18.7	eV/f.u.
# uncorrected formation energy	-52	kJ/mol of atoms
# calculated density	5864	kg/m3
# offset from the most stable computed form	24.6	meV/atom